Ta3As: relaxed, PBEsol.

As for the magnetic moment: 0.000 μB per atom. As for the calculated total energy: -354.0 eV for the cell shown. The value obtained for the density of states at the Fermi level is 0.57 states/eV/atom.

It has space group P4_2/n (No. 86, origin choice 2), with a = 10.256 Å, b = 10.256 Å, c = 5.122 Å, α = 90.00°, β = 90.00° and γ = 90.00°. The distinct sites, in fractional coordinates, are Ta at (0.042, 0.947, 0.245), Ta at (0.100, 0.256, 0.011), Ta at (0.156, 0.838, 0.737) and As at (0.044, 0.262, 0.512).